1.
Here is an optimized crystal structure of YMn2Br from Alexandria via LeMat-Bulk. Energies are from GGA-PBE.

a = 3.321 Å, b = 3.358 Å, c = 15.179 Å
α = 90.00°, β = 90.00°, γ = 90.00°
Fractional coordinates of all 8 atoms:
Y  0.000  0.000  0.000
Y  0.000  0.500  0.500
Mn  0.000  0.000  0.205
Mn  0.000  0.500  0.705
Mn  0.500  0.000  0.633
Mn  0.500  0.500  0.133
Br  0.500  0.000  0.369
Br  0.500  0.500  0.869

Values from the calculation:
Total magnetic moment: 1.72 μB/cell
Raw formation energy: -0.0928 eV/atom
E: -6.71 eV per atom

2.
Here is an optimized crystal structure of Pa2Ga4Co5 from Alexandria via LeMat-Bulk. Energies are from GGA-PBE.

a = 8.394 Å, b = 7.617 Å, c = 5.202 Å
α = 79.36°, β = 63.11°, γ = 37.53°
Fractional coordinates of all 11 atoms:
Pa  0.132  0.132  0.868
Pa  0.868  0.868  0.132
Ga  0.215  0.524  0.476
Ga  0.476  0.785  0.215
Ga  0.524  0.215  0.785
Ga  0.785  0.476  0.524
Co  0.000  0.000  0.500
Co  0.250  0.250  0.250
Co  0.500  0.500  0.000
Co  0.500  0.500  0.500
Co  0.750  0.750  0.750

Values from the calculation:
Total magnetic moment: 0.00 μB/cell
E_form: -25 kJ per mole of atoms
E: -6.32 eV per atom

3.
Here is an optimized crystal structure of Mg6CdBiO8 from Alexandria via LeMat-Bulk. Energies are from GGA-PBE.

a = 4.579 Å, b = 4.579 Å, c = 9.180 Å
α = 90.00°, β = 90.00°, γ = 90.00°
Fractional coordinates of all 16 atoms:
Mg  0.000  0.000  0.000
Mg  0.000  0.000  0.500
Mg  0.000  0.500  0.234
Mg  0.000  0.500  0.766
Mg  0.500  0.000  0.234
Mg  0.500  0.000  0.766
Cd  0.500  0.500  0.000
Bi  0.500  0.500  0.500
O  0.000  0.000  0.249
O  0.000  0.000  0.751
O  0.000  0.500  0.000
O  0.000  0.500  0.500
O  0.500  0.000  0.000
O  0.500  0.000  0.500
O  0.500  0.500  0.247
O  0.500  0.500  0.753

Values from the calculation:
Total magnetic moment: 0.00 μB/cell
Raw formation energy: -1.9512 eV/atom
E: -5.33 eV per atom

4.
Here is an optimized crystal structure of Y2TmTc from Alexandria via LeMat-Bulk. Energies are from GGA-PBE.

a = 3.425 Å, b = 3.425 Å, c = 32.479 Å
α = 90.00°, β = 90.00°, γ = 120.00°
Fractional coordinates of all 12 atoms:
Y  0.000  0.000  0.104
Y  0.000  0.000  0.896
Y  0.333  0.667  0.563
Y  0.333  0.667  0.771
Y  0.667  0.333  0.229
Y  0.667  0.333  0.437
Tm  0.000  0.000  0.000
Tm  0.333  0.667  0.667
Tm  0.667  0.333  0.333
Tc  0.000  0.000  0.500
Tc  0.333  0.667  0.167
Tc  0.667  0.333  0.833

Values from the calculation:
Total magnetic moment: 1.04 μB/cell
E_form: 30 kJ per mole of atoms
E: -6.63 eV per atom

5.
Here is an optimized crystal structure of MgGaSiGe2 from Alexandria via LeMat-Bulk. Energies are from GGA-PBE.

a = 4.831 Å, b = 4.831 Å, c = 5.021 Å
α = 90.00°, β = 90.00°, γ = 90.00°
Fractional coordinates of all 5 atoms:
Mg  0.000  0.000  0.000
Ga  0.500  0.500  0.000
Si  0.000  0.000  0.500
Ge  0.000  0.500  0.500
Ge  0.500  0.000  0.500

Values from the calculation:
Total magnetic moment: 0.00 μB/cell
Raw formation energy: 0.4922 eV/atom
E: -3.36 eV per atom

6.
Here is an optimized crystal structure of CaPPtF2 from Alexandria via LeMat-Bulk. Energies are from GGA-PBE.

a = 3.996 Å, b = 3.996 Å, c = 6.887 Å
α = 90.00°, β = 90.00°, γ = 90.00°
Fractional coordinates of all 5 atoms:
Ca  0.000  0.000  0.000
P  0.500  0.500  0.500
Pt  0.000  0.000  0.500
F  0.000  0.500  0.000
F  0.500  0.000  0.000

Values from the calculation:
Total magnetic moment: 0.00 μB/cell
Raw formation energy: -1.3570 eV/atom
E: -4.80 eV per atom

7.
Here is an optimized crystal structure of MgAl4Br from Alexandria via LeMat-Bulk. Energies are from GGA-PBE.

a = 5.596 Å, b = 5.596 Å, c = 5.596 Å
α = 60.00°, β = 60.00°, γ = 60.00°
Fractional coordinates of all 6 atoms:
Mg  0.000  0.000  0.000
Al  0.123  0.626  0.626
Al  0.626  0.123  0.626
Al  0.626  0.626  0.123
Al  0.626  0.626  0.626
Br  0.250  0.250  0.250

Values from the calculation:
Total magnetic moment: 0.00 μB/cell
Raw formation energy: 0.1340 eV/atom
E: -2.91 eV per atom

8.
Here is an optimized crystal structure of Er3TeH from Alexandria via LeMat-Bulk. Energies are from GGA-PBE.

a = 7.372 Å, b = 3.810 Å, c = 8.302 Å
α = 90.00°, β = 94.41°, γ = 90.00°
Fractional coordinates of all 10 atoms:
Er  0.075  0.250  0.348
Er  0.236  0.250  0.935
Er  0.360  0.750  0.611
Er  0.640  0.250  0.389
Er  0.764  0.750  0.065
Er  0.925  0.750  0.652
Te  0.370  0.750  0.211
Te  0.630  0.250  0.789
H  0.154  0.250  0.634
H  0.846  0.750  0.366

Values from the calculation:
Total magnetic moment: 0.00 μB/cell
E: -4.62 eV per atom

9.
Here is an optimized crystal structure of ZnGaReO6 from Alexandria via LeMat-Bulk. Energies are from GGA-PBE.

a = 5.072 Å, b = 5.072 Å, c = 9.061 Å
α = 90.00°, β = 90.00°, γ = 120.00°
Fractional coordinates of all 18 atoms:
Zn  0.000  0.000  0.000
Zn  0.000  0.000  0.500
Ga  0.333  0.667  0.250
Ga  0.667  0.333  0.750
Re  0.333  0.667  0.750
Re  0.667  0.333  0.250
O  0.014  0.362  0.633
O  0.014  0.652  0.867
O  0.348  0.362  0.867
O  0.348  0.986  0.633
O  0.362  0.014  0.133
O  0.362  0.348  0.367
O  0.638  0.652  0.633
O  0.638  0.986  0.867
O  0.652  0.014  0.367
O  0.652  0.638  0.133
O  0.986  0.348  0.133
O  0.986  0.638  0.367

Values from the calculation:
Total magnetic moment: 0.00 μB/cell
Raw formation energy: -1.4615 eV/atom
E: -6.63 eV per atom

10.
Here is an optimized crystal structure of Ho8AlSn2 from Alexandria via LeMat-Bulk. Energies are from GGA-PBE.

a = 9.929 Å, b = 9.929 Å, c = 6.677 Å
α = 104.05°, β = 104.05°, γ = 29.51°
Fractional coordinates of all 11 atoms:
Ho  0.020  0.020  0.275
Ho  0.215  0.215  0.819
Ho  0.346  0.346  0.501
Ho  0.409  0.409  0.029
Ho  0.591  0.591  0.971
Ho  0.654  0.654  0.499
Ho  0.785  0.785  0.181
Ho  0.980  0.980  0.725
Al  0.500  0.500  0.500
Sn  0.181  0.181  0.257
Sn  0.819  0.819  0.743

Values from the calculation:
Total magnetic moment: 0.00 μB/cell
E_form: -31 kJ per mole of atoms
E: -4.71 eV per atom

11.
Here is an optimized crystal structure of FeCoSi2 from Alexandria via LeMat-Bulk. Energies are from GGA-PBE.

a = 3.364 Å, b = 3.364 Å, c = 7.766 Å
α = 90.00°, β = 90.00°, γ = 90.00°
Fractional coordinates of all 8 atoms:
Fe  0.000  0.000  0.000
Fe  0.500  0.500  0.500
Co  0.000  0.500  0.250
Co  0.500  0.000  0.750
Si  0.000  0.000  0.500
Si  0.000  0.500  0.750
Si  0.500  0.000  0.250
Si  0.500  0.500  0.000

Values from the calculation:
Total magnetic moment: 2.44 μB/cell
Raw formation energy: -0.3175 eV/atom
E: -6.92 eV per atom

12.
Here is an optimized crystal structure of PmPd3Au7 from Alexandria via LeMat-Bulk. Energies are from GGA-PBE.

a = 6.501 Å, b = 6.501 Å, c = 5.708 Å
α = 103.30°, β = 103.30°, γ = 99.45°
Fractional coordinates of all 11 atoms:
Pm  0.000  0.000  0.000
Pd  0.267  0.733  0.500
Pd  0.500  0.500  0.000
Pd  0.733  0.267  0.500
Au  0.000  0.000  0.500
Au  0.092  0.558  0.824
Au  0.321  0.321  0.460
Au  0.442  0.908  0.176
Au  0.558  0.092  0.824
Au  0.679  0.679  0.540
Au  0.908  0.442  0.176

Values from the calculation:
Total magnetic moment: 0.00 μB/cell
E_form: -10 kJ per mole of atoms
E: -4.03 eV per atom